(1)
! Te2PdAu (PBE-GGA, relaxed); values from VASP
! E_tot	-30.15	eV for the cell shown
! size of the total moment	0.00	μB/f.u.
! excess energy over the best structure of this formula in the dataset	66	meV/atom
&SYSTEM
  ibrav = 0, nat = 8, ntyp = 3
/
ATOMIC_SPECIES
Te 127.60 Te.upf
Au 196.97 Au.upf
Pd 106.42 Pd.upf
CELL_PARAMETERS angstrom
6.199 0.000 0.000
0.000 6.199 0.000
3.099 3.099 6.081
ATOMIC_POSITIONS angstrom
Te 4.649 4.753 4.561
Au 0.000 0.000 0.000
Au 6.199 3.099 3.040
Pd 3.099 3.099 0.000
Te 4.546 1.550 1.520
Te 1.653 4.649 1.520
Pd 3.099 6.199 3.040
Te 7.749 7.645 4.561



(2)
! TePdAu (PBE-GGA, relaxed); values from VASP
! E_tot	-11.58	eV for the cell shown
! size of the total moment	0.00	μB/f.u.
! excess energy over the best structure of this formula in the dataset	117	meV/atom
&SYSTEM
  ibrav = 0, nat = 3, ntyp = 3
/
ATOMIC_SPECIES
Te 127.60 Te.upf
Pd 106.42 Pd.upf
Au 196.97 Au.upf
CELL_PARAMETERS angstrom
-3.016 0.174 0.523
-0.856 -0.379 -4.813
0.248 -4.038 2.771
ATOMIC_POSITIONS angstrom
Te -3.009 0.173 0.521
Pd -0.489 -1.598 -2.285
Au -0.127 -2.818 0.244



Question: Look up the excess energy over the best structure of this formula in the dataset of the first one.
Answer: 66 meV/atom